No. 1
VASP calculation (PBE) on crystalline ScCl4 at its relaxed geometry.

The value obtained for the uncorrected formation energy is -1192 meV/atom.

The space group is Im-3m (No. 229) and the conventional cell measures 6.1914, 6.1914 and 6.1914 Å, with angles of 90.00, 90.00 and 90.00 degrees. The asymmetric unit holds Sc at (0.0000, 0.0000, 0.0000) and Cl at (0.2500, 0.2500, 0.2500).

---

No. 2
VASP calculation (PBE) on crystalline ErPu2H8 at its relaxed geometry.

The space group is Immm (No. 71) and the conventional cell measures 3.7480, 5.0123 and 11.2230 Å, with angles of 90.00, 90.00 and 90.00 degrees. The asymmetric unit holds Er at (0.0000, 0.0000, 0.0000), Pu at (0.0000, 0.0000, 0.3210), H at (0.0000, 0.2372, 0.5000), H at (0.0000, 0.2628, 0.1515) and H at (0.0000, 0.5000, 0.3228).

---

No. 3
VASP calculation (PBE) on crystalline HfZrFeRe at its relaxed geometry.

The value obtained for the formation energy is -0.99 eV/f.u.

The space group is F-43m (No. 216) and the conventional cell measures 6.4690, 6.4690 and 6.4690 Å, with angles of 90.00, 90.00 and 90.00 degrees. The asymmetric unit holds Hf at (0.0000, 0.0000, 0.0000), Zr at (0.0000, 0.0000, 0.5000), Fe at (0.2500, 0.2500, 0.2500) and Re at (0.2500, 0.2500, 0.7500).

---

No. 4
VASP calculation (PBE) on crystalline MgHgI4 at its relaxed geometry.

The value obtained for the uncorrected formation energy is -647 meV/atom.

The space group is I-4 (No. 82) and the conventional cell measures 6.7724, 6.7724 and 12.0824 Å, with angles of 90.00, 90.00 and 90.00 degrees. The asymmetric unit holds Mg at (0.0000, 0.0000, 0.0000), Hg at (0.0000, 0.5000, 0.7500) and I at (0.2436, 0.2460, 0.1210).

---

No. 5
VASP calculation (PBE) on crystalline Li5Zn4Au at its relaxed geometry.

The value obtained for the formation energy is -0.84 eV/f.u.

The space group is I4 (No. 79) and the conventional cell measures 8.2363, 8.2363 and 4.8724 Å, with angles of 90.00, 90.00 and 90.00 degrees. The asymmetric unit holds Li at (0.0000, 0.0000, 0.0000), Li at (0.1527, 0.7748, 0.2776), Zn at (0.0360, 0.6565, 0.7659) and Au at (0.0000, 0.0000, 0.5226).

---

No. 6
VASP calculation (PBE) on crystalline Ac2La5SmTm at its relaxed geometry.

The value obtained for the formation energy is 0.92 eV/f.u.

The space group is Cmcm (No. 63) and the conventional cell measures 5.6782, 22.6641 and 10.6421 Å, with angles of 90.00, 90.00 and 90.00 degrees. The asymmetric unit holds Ac at (0.0000, 0.1150, 0.0147), La at (0.0000, 0.0057, 0.7500), La at (0.0000, 0.2774, 0.0608), La at (0.0000, 0.3764, 0.7500), La at (0.0000, 0.5000, 0.0000), Sm at (0.0000, 0.2128, 0.7500) and Tm at (0.0000, 0.3970, 0.2500).

---

No. 7
VASP calculation (PBE) on crystalline ScMnCr4 at its relaxed geometry.

The value obtained for the formation energy is 1.00 eV/f.u.

The space group is F-43m (No. 216) and the conventional cell measures 6.8677, 6.8677 and 6.8677 Å, with angles of 90.00, 90.00 and 90.00 degrees. The asymmetric unit holds Sc at (0.0000, 0.0000, 0.0000), Mn at (0.2500, 0.2500, 0.2500) and Cr at (0.1255, 0.1255, 0.6255).

---

No. 8
VASP calculation (PBE) on crystalline Ac2Zn3Ge4 at its relaxed geometry.

The value obtained for the formation energy is -3.56 eV/f.u.

The space group is Cmce (No. 64) and the conventional cell measures 6.0728, 16.0182 and 8.1805 Å, with angles of 90.00, 90.00 and 90.00 degrees. The asymmetric unit holds Ac at (0.0000, 0.1159, 0.0828), Zn at (0.0000, 0.0000, 0.5000), Zn at (0.2500, 0.2120, 0.7500), Ge at (0.0000, 0.1925, 0.4509) and Ge at (0.2500, 0.0507, 0.7500).

---

No. 9
VASP calculation (PBE) on crystalline Cd3PdPt at its relaxed geometry.

The value obtained for the formation energy is -1.08 eV/f.u.

The space group is C2/c (No. 15) and the conventional cell measures 12.0686, 8.2941 and 9.4890 Å, with angles of 90.00, 127.99 and 90.00 degrees. The asymmetric unit holds Cd at (0.1273, 0.0978, 0.0839), Cd at (0.1307, 0.2831, 0.5582), Cd at (0.2416, 0.4067, 0.0815), Pd at (0.0000, 0.0873, 0.2500), Pd at (0.0000, 0.2777, 0.7500) and Pt at (0.1180, 0.4126, 0.2539).

---

No. 10
VASP calculation (PBE) on crystalline CdTcO2 at its relaxed geometry.

The value obtained for the uncorrected formation energy is -588 meV/atom.

The space group is R-3m (No. 166, hexagonal axes) and the conventional cell measures 3.0309, 3.0309 and 19.9827 Å, with angles of 90.00, 90.00 and 120.00 degrees. The asymmetric unit holds Cd at (0.0000, 0.0000, 0.0000), Tc at (0.0000, 0.0000, 0.5000) and O at (0.0000, 0.0000, 0.4058).

---

No. 11
VASP calculation (PBE) on crystalline Ac12Pm7Pr at its relaxed geometry.

The value obtained for the formation energy is 4.65 eV/f.u.

The space group is R-3 (No. 148, hexagonal axes) and the conventional cell measures 20.7568, 20.7568 and 6.8479 Å, with angles of 90.00, 90.00 and 120.00 degrees. The asymmetric unit holds Ac at (0.0283, 0.6037, 0.0541), Ac at (0.1075, 0.2233, 0.8826), Pm at (0.0000, 0.0000, 0.0000), Pm at (0.0538, 0.1725, 0.3756) and Pr at (0.0000, 0.0000, 0.5000).

---

No. 12
VASP calculation (PBE) on crystalline Pr6Ge3PS2 at its relaxed geometry.

The value obtained for the uncorrected formation energy is -1323 meV/atom.

The space group is C2/m (No. 12) and the conventional cell measures 18.6190, 4.2032 and 8.5691 Å, with angles of 90.00, 104.75 and 90.00 degrees. The asymmetric unit holds Pr at (0.0019, 0.0000, 0.2432), Pr at (0.1646, 0.5000, 0.0855), Pr at (0.1679, 0.5000, 0.5802), Ge at (0.0000, 0.5000, 0.5000), Ge at (0.1674, 0.0000, 0.8319), P at (0.0000, 0.5000, 0.0000) and S at (0.1672, 0.0000, 0.3340).

---

| no. | electronic total energy (eV/cell) | size of the total moment (μB per formula unit) |
| --- | --- | --- |
| 1 | -39.352 | 0.00 |
| 2 | -130.822 | 10.81 |
| 3 | -161.598 | 0.27 |
| 4 | -23.960 | 0.00 |
| 5 | -37.559 | 0.00 |
| 6 | -164.506 | 0.00 |
| 7 | -211.993 | 1.39 |
| 8 | -136.277 | 0.00 |
| 9 | -120.432 | 0.00 |
| 10 | -70.647 | 0.00 |
| 11 | -248.051 | 0.65 |
| 12 | -144.131 | 0.00 |